[1]
AlAsSeBr2: optimized geometry, GGA-PBE.

The calculation puts the uncorrected formation energy at 0.44 eV/atom. As for the calculated total energy: -2.605 eV per atom. For the density, the calculation gives 3.6 g/cm³. As for the energy relative to the lowest polymorph listed for this composition: 35.0 kJ/mol of atoms.

The structure belongs to space group P4/mmm (No. 123); the cell edges are 5.5628, 5.5628 and 5.0356 Å and the angles 90.00°, 90.00° and 90.00°. The inequivalent atoms are Al at (0.0000, 0.0000, 0.0000), As at (0.5000, 0.5000, 0.0000), Se at (0.5000, 0.5000, 0.5000) and Br at (0.0000, 0.5000, 0.5000).

[2]
AlAsSeBr2: optimized geometry, GGA-PBE.

The calculation puts the uncorrected formation energy at 0.14 eV/atom. As for the calculated total energy: -2.901 eV per atom. For the density, the calculation gives 4.4 g/cm³. As for the energy relative to the lowest polymorph listed for this composition: 6.5 kJ/mol of atoms.

The structure belongs to space group P4/mmm (No. 123); the cell edges are 4.8271, 4.8271 and 5.4812 Å and the angles 90.00°, 90.00° and 90.00°. The inequivalent atoms are Al at (0.0000, 0.0000, 0.0000), As at (0.0000, 0.0000, 0.5000), Se at (0.5000, 0.5000, 0.5000) and Br at (0.0000, 0.5000, 0.0000).

[3]
AlAsSeBr2: optimized geometry, GGA-PBE.

The calculation puts the uncorrected formation energy at 0.08 eV/atom. As for the calculated total energy: -2.968 eV per atom. For the density, the calculation gives 3.8 g/cm³. As for the energy relative to the lowest polymorph listed for this composition: 0.0 kJ/mol of atoms.

The structure belongs to space group P4/mmm (No. 123); the cell edges are 5.4053, 5.4053 and 5.0600 Å and the angles 90.00°, 90.00° and 90.00°. The inequivalent atoms are Al at (0.0000, 0.0000, 0.0000), As at (0.5000, 0.5000, 0.5000), Se at (0.5000, 0.5000, 0.0000) and Br at (0.0000, 0.5000, 0.5000).

[4]
AlSiAsBr2: optimized geometry, GGA-PBE.

The calculation puts the uncorrected formation energy at 0.30 eV/atom. As for the calculated total energy: -3.127 eV per atom. For the density, the calculation gives 3.7 g/cm³. As for the energy relative to the lowest polymorph listed for this composition: 0.0 kJ/mol of atoms.

The structure belongs to space group P4/mmm (No. 123); the cell edges are 5.1386, 5.1386 and 4.9696 Å and the angles 90.00°, 90.00° and 90.00°. The inequivalent atoms are Al at (0.0000, 0.0000, 0.0000), Si at (0.5000, 0.5000, 0.5000), As at (0.5000, 0.5000, 0.0000) and Br at (0.0000, 0.5000, 0.5000).

[5]
SrAlAsBr2: optimized geometry, GGA-PBE.

The calculation puts the uncorrected formation energy at -0.80 eV/atom. As for the calculated total energy: -3.481 eV per atom. For the density, the calculation gives 4.2 g/cm³. As for the energy relative to the lowest polymorph listed for this composition: 0.0 kJ/mol of atoms.

The structure belongs to space group P4/mmm (No. 123); the cell edges are 5.2196, 5.2196 and 5.0333 Å and the angles 90.00°, 90.00° and 90.00°. The inequivalent atoms are Sr at (0.0000, 0.0000, 0.0000), Al at (0.5000, 0.5000, 0.5000), As at (0.5000, 0.5000, 0.0000) and Br at (0.0000, 0.5000, 0.5000).

[6]
SrAlAsBr2: optimized geometry, GGA-PBE.

The calculation puts the uncorrected formation energy at -0.30 eV/atom. As for the calculated total energy: -2.983 eV per atom. For the density, the calculation gives 2.7 g/cm³. As for the energy relative to the lowest polymorph listed for this composition: 48.0 kJ/mol of atoms.

The structure belongs to space group P4/mmm (No. 123); the cell edges are 5.8807, 5.8807 and 6.2245 Å and the angles 90.00°, 90.00° and 90.00°. The inequivalent atoms are Sr at (0.0000, 0.0000, 0.0000), Al at (0.5000, 0.5000, 0.5000), As at (0.0000, 0.0000, 0.5000) and Br at (0.0000, 0.5000, 0.0000).

[7]
TaAlAs2Br: optimized geometry, GGA-PBE.

The calculation puts the uncorrected formation energy at 0.25 eV/atom. As for the calculated total energy: -5.064 eV per atom. For the density, the calculation gives 5.4 g/cm³. As for the energy relative to the lowest polymorph listed for this composition: 0.0 kJ/mol of atoms.

The structure belongs to space group P4/mmm (No. 123); the cell edges are 4.9940, 4.9940 and 5.3562 Å and the angles 90.00°, 90.00° and 90.00°. The inequivalent atoms are Ta at (0.0000, 0.0000, 0.0000), Al at (0.5000, 0.5000, 0.5000), As at (0.0000, 0.5000, 0.0000) and Br at (0.0000, 0.0000, 0.5000).

[8]
TaAlAsBr2: optimized geometry, GGA-PBE.

The calculation puts the uncorrected formation energy at 0.77 eV/atom. As for the calculated total energy: -3.947 eV per atom. For the density, the calculation gives 6.1 g/cm³. As for the energy relative to the lowest polymorph listed for this composition: 59.3 kJ/mol of atoms.

The structure belongs to space group P4/mmm (No. 123); the cell edges are 4.8418, 4.8418 and 5.1222 Å and the angles 90.00°, 90.00° and 90.00°. The inequivalent atoms are Ta at (0.0000, 0.0000, 0.0000), Al at (0.5000, 0.5000, 0.5000), As at (0.5000, 0.5000, 0.0000) and Br at (0.0000, 0.5000, 0.5000).